Entry 1:
Here is a relaxed Rb2In6Ir crystal from the Alexandria database. Energies are from PBE.

The space group is C2/m (No. 12) and the conventional cell measures 11.8332, 7.6666 and 5.9942 Å, with angles of 90.00, 93.97 and 90.00 degrees. The distinct sites, in fractional coordinates, are Rb at (0.1289, 0.0000, 0.2018), In at (0.0968, 0.2941, 0.6930), In at (0.1914, 0.5000, 0.2734) and Ir at (0.0000, 0.5000, 0.0000).


Entry 2:
Here is a relaxed Rb3InIr crystal from the Alexandria database. Energies are from PBE.

The space group is Pm-3m (No. 221) and the conventional cell measures 6.3605, 6.3605 and 6.3605 Å, with angles of 90.00, 90.00 and 90.00 degrees. The distinct sites, in fractional coordinates, are Rb at (0.0000, 0.0000, 0.5000), In at (0.5000, 0.5000, 0.5000) and Ir at (0.0000, 0.0000, 0.0000).


Entry 3:
Here is a relaxed Rb2InIr crystal from the Alexandria database. Energies are from PBE.

The space group is I-42d (No. 122) and the conventional cell measures 4.3430, 4.3430 and 24.3517 Å, with angles of 90.00, 90.00 and 90.00 degrees. The distinct sites, in fractional coordinates, are Rb at (0.2441, 0.2500, 0.1250), In at (0.0000, 0.0000, 0.5000) and Ir at (0.0000, 0.0000, 0.0000).


Entry 4:
Here is a relaxed RbIn2Ir crystal from the Alexandria database. Energies are from PBE.

The space group is I-42d (No. 122) and the conventional cell measures 6.5866, 6.5866 and 15.5348 Å, with angles of 90.00, 90.00 and 90.00 degrees. The distinct sites, in fractional coordinates, are Rb at (0.0000, 0.0000, 0.0000), In at (0.0011, 0.2500, 0.6250) and Ir at (0.0000, 0.0000, 0.5000).


Entry 5:
Here is a relaxed Rb2InIr crystal from the Alexandria database. Energies are from PBE.

The space group is Fm-3m (No. 225) and the conventional cell measures 8.0978, 8.0978 and 8.0978 Å, with angles of 90.00, 90.00 and 90.00 degrees. The distinct sites, in fractional coordinates, are Rb at (0.2500, 0.2500, 0.2500), In at (0.0000, 0.0000, 0.0000) and Ir at (0.0000, 0.0000, 0.5000).


Entry 6:
Here is a relaxed Rb2In5Ir crystal from the Alexandria database. Energies are from PBE.

The space group is P4/mmm (No. 123) and the conventional cell measures 6.9334, 6.9334 and 5.3746 Å, with angles of 90.00, 90.00 and 90.00 degrees. The distinct sites, in fractional coordinates, are Rb at (0.0000, 0.5000, 0.0000), In at (0.0000, 0.0000, 0.0000), In at (0.2783, 0.2783, 0.5000) and Ir at (0.0000, 0.0000, 0.5000).


Entry 7:
Here is a relaxed RbIn6Ir2 crystal from the Alexandria database. Energies are from PBE.

The space group is P4/mmm (No. 123) and the conventional cell measures 5.2214, 5.2214 and 10.4464 Å, with angles of 90.00, 90.00 and 90.00 degrees. The distinct sites, in fractional coordinates, are Rb at (0.0000, 0.0000, 0.0000), In at (0.0000, 0.5000, 0.2645), In at (0.5000, 0.5000, 0.0000), In at (0.5000, 0.5000, 0.5000) and Ir at (0.5000, 0.5000, 0.2510).


Entry 8:
Here is a relaxed Rb2In6Ir crystal from the Alexandria database. Energies are from PBE.

The space group is Fm-3m (No. 225) and the conventional cell measures 10.1502, 10.1502 and 10.1502 Å, with angles of 90.00, 90.00 and 90.00 degrees. The distinct sites, in fractional coordinates, are Rb at (0.2500, 0.2500, 0.2500), In at (0.0000, 0.0000, 0.2299) and Ir at (0.0000, 0.0000, 0.5000).


The records above yield DOS(E_F) values of 9.648, 13.801, 10.449, 0.148, 5.781, 5.751, 4.391, 42.504 states/eV/cell, respectively.
The records above yield formation energy values of -0.4, 4.1, 3.4, 0.4, 3.6, 0.1, -1.2, 0.1 eV/f.u., respectively.
The records above yield uncorrected energy values of -27.6, -10.4, -10.1, -14.9, -9.9, -24.4, -36.3, -27.1 eV/f.u., respectively.